Here is a relaxed GaBiI crystal from Alexandria via LeMat-Bulk. Energies are from PBE-GGA.

Properties
* electronic total energy: -35.99 eV for the cell shown
* uncorrected formation energy: -180 meV per atom

Cell: 8.6501 4.4227 12.5562 Å, 90.00 115.11 90.00°
Positions (direct):
Ga  0.5712  0.0000  0.9392
Ga  0.5712  0.5000  0.4392
Ga  0.9565  0.0000  0.8335
Ga  0.9565  0.5000  0.3335
Bi  0.4132  0.0000  0.6917
Bi  0.4132  0.5000  0.1917
Bi  0.6502  0.0000  0.1797
Bi  0.6502  0.5000  0.6797
I  0.8457  0.0000  0.5095
I  0.8457  0.5000  0.0095
I  0.2252  0.0000  0.3589
I  0.2252  0.5000  0.8589


Here is a relaxed GaBi3I crystal from Alexandria via LeMat-Bulk. Energies are from PBE-GGA.

Properties
* electronic total energy: -32.57 eV for the cell shown
* uncorrected formation energy: -13 meV per atom

Cell: 7.3759 7.8472 7.0787 Å, 65.07 89.99 89.99°
Positions (direct):
Ga  0.2522  0.7141  0.7651
Ga  0.7522  0.6388  0.1367
Bi  0.2661  0.3928  0.2831
Bi  0.4731  0.9003  0.9635
Bi  0.9042  0.3620  0.5162
Bi  0.7661  0.9599  0.6183
Bi  0.9730  0.4526  0.9380
Bi  0.4042  0.9906  0.3853
I  0.4826  0.4436  0.7298
I  0.9827  0.9092  0.1716


Here is a relaxed GaBiI crystal from Alexandria via LeMat-Bulk. Energies are from PBE-GGA.

Properties
* electronic total energy: -8.74 eV for the cell shown
* uncorrected formation energy: -94 meV per atom

Cell: 3.6993 4.4965 7.1388 Å, 90.33 90.21 90.06°
Positions (direct):
Ga  0.2462  0.9933  0.8069
Bi  0.2482  0.4954  0.0335
I  0.7443  0.9906  0.5269


Here is a relaxed Ga3Bi3I crystal from Alexandria via LeMat-Bulk. Energies are from PBE-GGA.

Properties
* electronic total energy: -43.55 eV for the cell shown
* uncorrected formation energy: 71 meV per atom

Cell: 7.8746 7.8746 7.8746 Å, 90.00 90.00 90.00°
Positions (direct):
I  0.5000  0.5000  0.5000
I  0.0000  0.0000  0.0000
Bi  0.2500  0.0000  0.5000
Bi  0.0000  0.5000  0.2500
Bi  0.5000  0.7500  0.0000
Bi  0.7500  0.0000  0.5000
Bi  0.0000  0.5000  0.7500
Bi  0.5000  0.2500  0.0000
Ga  0.0000  0.2500  0.5000
Ga  0.0000  0.7500  0.5000
Ga  0.5000  0.0000  0.7500
Ga  0.7500  0.5000  0.0000
Ga  0.5000  0.0000  0.2500
Ga  0.2500  0.5000  0.0000


Here is a relaxed Ga6BiI12 crystal from Alexandria via LeMat-Bulk. Energies are from PBE-GGA.

Properties
* electronic total energy: -47.04 eV for the cell shown
* uncorrected formation energy: -337 meV per atom

Cell: 10.7757 10.7757 10.7757 Å, 109.74 109.74 109.74°
Positions (direct):
Ga  0.9601  0.1625  0.2456
Ga  0.8375  0.7544  0.0399
Ga  0.7544  0.0399  0.8375
Ga  0.0399  0.8375  0.7544
Ga  0.1625  0.2456  0.9601
Ga  0.2456  0.9601  0.1625
Bi  0.0000  0.0000  0.0000
I  0.6282  0.4737  0.8528
I  0.4737  0.8528  0.6282
I  0.8528  0.6282  0.4737
I  0.3718  0.5263  0.1472
I  0.5263  0.1472  0.3718
I  0.1472  0.3718  0.5263
I  0.2565  0.0940  0.7856
I  0.2144  0.7435  0.9060
I  0.9060  0.2144  0.7435
I  0.7435  0.9060  0.2144
I  0.7856  0.2565  0.0940
I  0.0940  0.7856  0.2565


Here is a relaxed GaBiI crystal from Alexandria via LeMat-Bulk. Energies are from PBE-GGA.

Properties
* electronic total energy: -17.86 eV for the cell shown
* uncorrected formation energy: -158 meV per atom

Cell: 4.5299 7.9302 7.0128 Å, 90.00 90.00 90.00°
Positions (direct):
Ga  0.5000  0.2198  0.2380
Ga  0.5000  0.7802  0.2380
Bi  0.0000  0.1942  0.4642
Bi  0.0000  0.8058  0.4642
I  0.5000  0.0000  0.9310
I  0.5000  0.5000  0.0026


Here is a relaxed Ga3BiI6 crystal from Alexandria via LeMat-Bulk. Energies are from PBE-GGA.

Properties
* electronic total energy: -51.92 eV for the cell shown
* uncorrected formation energy: -370 meV per atom

Cell: 9.5709 9.5709 9.5709 Å, 92.15 92.15 92.15°
Positions (direct):
Ga  0.0946  0.5811  0.2417
Ga  0.2417  0.0946  0.5811
Ga  0.4189  0.7583  0.9054
Ga  0.5811  0.2417  0.0946
Ga  0.7583  0.9054  0.4189
Ga  0.9054  0.4189  0.7583
Bi  0.0000  0.0000  0.0000
Bi  0.5000  0.5000  0.5000
I  0.0666  0.6934  0.9129
I  0.0871  0.9334  0.3066
I  0.1881  0.4176  0.5438
I  0.3066  0.0871  0.9334
I  0.4176  0.5438  0.1881
I  0.4562  0.8119  0.5824
I  0.5438  0.1881  0.4176
I  0.5824  0.4562  0.8119
I  0.6934  0.9129  0.0666
I  0.8119  0.5824  0.4562
I  0.9129  0.0666  0.6934
I  0.9334  0.3066  0.0871


Here is a relaxed Ga2Bi4I3 crystal from Alexandria via LeMat-Bulk. Energies are from PBE-GGA.

Properties
* electronic total energy: -52.45 eV for the cell shown
* uncorrected formation energy: 0 meV per atom

Cell: 6.6738 12.4482 12.4482 Å, 72.57 110.01 110.01°
Positions (direct):
Ga  0.4610  0.1260  0.4392
Ga  0.0390  0.5608  0.8740
Ga  0.5390  0.8740  0.5608
Ga  0.9610  0.4392  0.1260
Bi  0.4777  0.9729  0.3228
Bi  0.0223  0.6772  0.0271
Bi  0.5223  0.0271  0.6772
Bi  0.9777  0.3228  0.9729
Bi  0.0817  0.3579  0.3671
Bi  0.4183  0.6329  0.6421
Bi  0.9183  0.6421  0.6329
Bi  0.5817  0.3671  0.3579
I  0.9634  0.0942  0.3251
I  0.5366  0.6749  0.9058
I  0.0366  0.9058  0.6749
I  0.4634  0.3251  0.0942
I  0.2500  0.6201  0.3799
I  0.7500  0.3799  0.6201


Here is a relaxed Ga12Bi3I5 crystal from Alexandria via LeMat-Bulk. Energies are from PBE-GGA.

Properties
* electronic total energy: -216.24 eV for the cell shown
* uncorrected formation energy: 83 meV per atom

Cell: 15.5851 15.5851 15.5851 Å, 109.47 109.47 109.47°
Positions (direct):
Bi  0.7500  0.3750  0.1250
Bi  0.8750  0.7500  0.1250
Bi  0.3750  0.7500  0.6250
Bi  0.2500  0.1250  0.3750
Bi  0.8750  0.1250  0.2500
Bi  0.3750  0.6250  0.2500
Bi  0.6250  0.3750  0.7500
Bi  0.1250  0.8750  0.7500
Bi  0.7500  0.8750  0.6250
Bi  0.6250  0.2500  0.3750
Bi  0.1250  0.2500  0.8750
Bi  0.2500  0.6250  0.8750
I  0.1250  0.3750  0.2500
I  0.0000  0.5000  0.0000
I  0.0000  0.0000  0.0000
I  0.3750  0.2500  0.1250
I  0.5000  0.0000  0.5000
I  0.5000  0.5000  0.0000
I  0.1250  0.7500  0.3750
I  0.7500  0.1250  0.8750
I  0.7500  0.6250  0.3750
I  0.3750  0.1250  0.7500
I  0.6250  0.8750  0.2500
I  0.5000  0.5000  0.5000
I  0.5000  0.0000  0.0000
I  0.0000  0.0000  0.5000
I  0.2500  0.3750  0.6250
I  0.2500  0.8750  0.1250
I  0.0000  0.5000  0.5000
I  0.8750  0.2500  0.6250
I  0.6250  0.7500  0.8750
I  0.8750  0.6250  0.7500
Ga  0.7332  0.1589  0.0773
Ga  0.3441  0.5773  0.4183
Ga  0.9227  0.3411  0.2668
Ga  0.5773  0.2332  0.1589
Ga  0.5742  0.7332  0.6559
Ga  0.9227  0.5817  0.1559
Ga  0.3441  0.7668  0.4258
Ga  0.0817  0.9258  0.1589
Ga  0.5817  0.9227  0.6559
Ga  0.7332  0.5742  0.1559
Ga  0.7668  0.4227  0.3411
Ga  0.8441  0.9183  0.0773
Ga  0.1589  0.7332  0.5773
Ga  0.3411  0.4183  0.0742
Ga  0.0742  0.9183  0.3411
Ga  0.4258  0.1589  0.5817
Ga  0.0742  0.1559  0.2332
Ga  0.4227  0.6559  0.0817
Ga  0.8441  0.9258  0.2668
Ga  0.1589  0.4258  0.0817
Ga  0.3411  0.9227  0.7668
Ga  0.5817  0.6589  0.4258
Ga  0.9183  0.8441  0.5773
Ga  0.7668  0.3441  0.9258
Ga  0.4183  0.3411  0.5742
Ga  0.0817  0.1559  0.4227
Ga  0.2332  0.6559  0.0742
Ga  0.1559  0.0742  0.7332
Ga  0.6589  0.0773  0.2332
Ga  0.8411  0.5742  0.9183
Ga  0.5773  0.3441  0.9183
Ga  0.5742  0.8411  0.4183
Ga  0.9258  0.8441  0.7668
Ga  0.9258  0.0817  0.6589
Ga  0.8411  0.2668  0.4227
Ga  0.1559  0.0817  0.9227
Ga  0.6589  0.5817  0.9258
Ga  0.4183  0.0773  0.3441
Ga  0.2668  0.4258  0.8441
Ga  0.2332  0.5773  0.6589
Ga  0.9183  0.0742  0.8411
Ga  0.6559  0.2332  0.5742
Ga  0.4227  0.7668  0.8411
Ga  0.0773  0.4183  0.8441
Ga  0.4258  0.2668  0.3441
Ga  0.0773  0.6589  0.7332
Ga  0.6559  0.4227  0.5817
Ga  0.2668  0.8411  0.9227


Here is a relaxed GaBiI crystal from Alexandria via LeMat-Bulk. Energies are from PBE-GGA.

Properties
* electronic total energy: -8.43 eV for the cell shown
* uncorrected formation energy: 10 meV per atom

Cell: 3.8519 3.8519 7.4735 Å, 90.00 90.00 120.00°
Positions (direct):
I  0.6667  0.3333  0.4066
Bi  0.0000  0.0000  0.9283
Ga  0.3333  0.6667  0.6651


Here is a relaxed GaBiI3 crystal from Alexandria via LeMat-Bulk. Energies are from PBE-GGA.

Properties
* electronic total energy: -24.95 eV for the cell shown
* uncorrected formation energy: -183 meV per atom

Cell: 4.0067 10.3493 11.1770 Å, 113.94 90.00 101.16°
Positions (direct):
Ga  0.5773  0.1546  0.9701
Ga  0.4227  0.8454  0.0299
Bi  0.9360  0.8719  0.7971
Bi  0.0640  0.1281  0.2029
I  0.3636  0.7272  0.5629
I  0.6364  0.2728  0.4371
I  0.7993  0.5985  0.8546
I  0.2007  0.4015  0.1454
I  0.0784  0.1567  0.7550
I  0.9216  0.8433  0.2450


Here is a relaxed GaBi5I2 crystal from Alexandria via LeMat-Bulk. Energies are from PBE-GGA.

Properties
* electronic total energy: -25.54 eV for the cell shown
* uncorrected formation energy: -1 meV per atom

Cell: 7.7648 8.8146 10.0154 Å, 124.91 113.99 108.12°
Positions (direct):
Ga  0.8544  0.8722  0.8770
Bi  0.6824  0.3572  0.9841
Bi  0.4081  0.3454  0.1361
Bi  0.5406  0.6034  0.9083
Bi  0.3086  0.6331  0.0982
Bi  0.9184  0.9120  0.4395
I  0.3348  0.6600  0.5174
I  0.7297  0.3936  0.5933


no.,magnetic moment (μB/f.u.)
1,0.0
2,0.0
3,0.0
4,0.0
5,0.0
6,0.0
7,0.0
8,0.0
9,0.0
10,0.0
11,0.0
12,0.0